1.
First-principles (GGA-PBE) data for a relaxed Sc4CdSn crystal, as listed in Alexandria via LeMat-Bulk.

POSCAR file:
```
Sc4CdSn
1.0
4.829 0.000 0.000
2.415 4.182 0.243
2.415 0.937 7.997
Sc Cd Sn
4 1 1
direct
0.627 0.627 0.119
0.123 0.123 0.631
0.877 0.877 0.369
0.373 0.373 0.881
0.000 0.000 0.000
0.500 0.500 0.500
```

Properties
Total DFT energy (no corrections), eV per atom: -5.1246
Crystal system: trigonal
Fermi-level density of states, states/eV per cell: 9.842
Total magnetization, μB/cell: 0.49
Space-group type: R-3m, No. 166
Formation energy from the elements, eV/atom: -0.084


2.
First-principles (GGA-PBE) data for a relaxed Sc6CdSn crystal, as listed in Alexandria via LeMat-Bulk.

POSCAR file:
```
Sc6CdSn
1.0
-0.145 -4.863 -1.692
4.619 -0.892 -2.099
4.181 -4.403 5.973
Sc Cd Sn
6 1 1
direct
0.442 0.933 0.701
0.644 0.644 0.057
0.933 0.442 0.701
0.067 0.558 0.299
0.558 0.067 0.299
0.356 0.356 0.943
0.000 0.000 0.000
0.500 0.500 0.500
```

Properties
Total DFT energy (no corrections), eV per atom: -5.3577
Crystal system: monoclinic
Fermi-level density of states, states/eV per cell: 11.718
Total magnetization, μB/cell: 0.00
Space-group type: C2/m, No. 12
Energy above the lowest structure with this stoichiometry, meV per atom: 292
Formation energy from the elements, eV/atom: 0.006